1.
Compound: La8Tc2Hg
Source: the Alexandria database
Functional: GGA-PBE
Structure: relaxed

Cell lengths 8.750, 13.823, 5.899 Å; angles 90.00, 105.62, 90.00 degrees
Space group Cm (No. 8)
Symmetry-distinct sites (fractional):
La: 0.000 0.000 0.000 x2
La: 0.129 0.364 0.822 x4
La: 0.211 0.126 0.664 x4
La: 0.276 0.500 0.401 x2
La: 0.455 0.237 0.240 x4
Tc: 0.353 0.300 0.665 x4
Hg: 0.381 0.000 0.233 x2


2.
Compound: La3TcHg
Source: the Alexandria database
Functional: GGA-PBE
Structure: relaxed

Values from the calculation:
energy relative to the lowest polymorph listed for this composition = 0.453 eV/f.u.

Cell lengths 5.452, 5.452, 5.452 Å; angles 90.00, 90.00, 90.00 degrees
Space group Pm-3m (No. 221)
Symmetry-distinct sites (fractional):
La: 0.000 0.000 0.500 x3
Tc: 0.000 0.000 0.000 x1
Hg: 0.500 0.500 0.500 x1


3.
Compound: LaTc2Hg
Source: the Alexandria database
Functional: GGA-PBE
Structure: relaxed

Cell lengths 3.153, 3.153, 8.173 Å; angles 90.00, 90.00, 90.00 degrees
Space group P4mm (No. 99)
Symmetry-distinct sites (fractional):
La: 0.000 0.000 0.000 x1
Tc: 0.000 0.000 0.437 x1
Tc: 0.500 0.500 0.279 x1
Hg: 0.500 0.500 0.685 x1


4.
Compound: LaTc2Hg
Source: the Alexandria database
Functional: GGA-PBE
Structure: relaxed

Cell lengths 6.120, 9.476, 3.013 Å; angles 90.00, 116.16, 90.00 degrees
Space group C2/m (No. 12)
Symmetry-distinct sites (fractional):
La: 0.000 0.000 0.000 x2
Tc: 0.250 0.250 0.500 x4
Hg: 0.000 0.500 0.000 x2


5.
Compound: LaTcHg3
Source: the Alexandria database
Functional: GGA-PBE
Structure: relaxed

Values from the calculation:
energy relative to the lowest polymorph listed for this composition = 5.389 eV/f.u.

Cell lengths 5.932, 5.932, 5.932 Å; angles 90.00, 90.00, 90.00 degrees
Space group Pm-3m (No. 221)
Symmetry-distinct sites (fractional):
La: 0.000 0.000 0.000 x1
Tc: 0.500 0.500 0.500 x1
Hg: 0.000 0.000 0.500 x3


6.
Compound: La5TcHg2
Source: the Alexandria database
Functional: GGA-PBE
Structure: relaxed

Cell lengths 8.260, 12.179, 4.912 Å; angles 90.00, 90.00, 90.00 degrees
Space group Pbam (No. 55)
Symmetry-distinct sites (fractional):
La: 0.000 0.000 0.000 x2
La: 0.136 0.300 0.000 x4
La: 0.186 0.570 0.500 x4
Tc: 0.000 0.500 0.000 x2
Hg: 0.079 0.832 0.500 x4


Number 1: E_form -0.055 eV/atom, ρ 7.3 Mg/m³, size of the total moment 0.000 μB per formula unit. Number 2: E_form -0.117 eV/atom, ρ 7.3 Mg/m³, size of the total moment 0.000 μB per formula unit. Number 3: E_form 0.083 eV/atom, ρ 10.9 Mg/m³, size of the total moment 0.000 μB per formula unit. Number 4: E_form 0.571 eV/atom, ρ 11.3 Mg/m³, size of the total moment 0.616 μB per formula unit. Number 5: E_form 1.348 eV/atom, ρ 6.7 Mg/m³, size of the total moment 2.947 μB per formula unit. Number 6: E_form -0.281 eV/atom, ρ 8.0 Mg/m³, size of the total moment 0.000 μB per formula unit.